# 1
Entry from Alexandria: a relaxed structure of Tl2Cu2SeS2 (PBE).

As for the mass density: 6.784 g cm⁻³. The calculation puts the density of states at the Fermi level at 6.1 states/eV/cell. The total energy comes out at -3.73 eV per atom.

Lattice parameters (Å, degrees): 3.907 6.757 7.227 113.50 90.17 106.56
Sites, in units of the cell vectors:
Tl  0.084  0.166  0.358
Tl  0.916  0.834  0.642
Cu  0.295  0.589  0.924
Cu  0.705  0.411  0.076
Se  0.500  0.000  0.000
S  0.284  0.568  0.241
S  0.716  0.432  0.759

=====

# 2
Entry from Alexandria: a relaxed structure of TlCuSe2S4 (PBE).

As for the mass density: 5.183 g cm⁻³. The calculation puts the density of states at the Fermi level at 5.4 states/eV/cell. The total energy comes out at -3.68 eV per atom.

Lattice parameters (Å, degrees): 6.194 6.194 6.194 115.60 115.45 97.95
Sites, in units of the cell vectors:
Tl  0.000  0.000  0.000
Cu  0.500  0.500  0.000
Se  0.249  0.749  0.500
Se  0.751  0.251  0.500
S  0.138  0.545  0.001
S  0.456  0.455  0.593
S  0.544  0.137  0.999
S  0.862  0.863  0.407

=====

# 3
Entry from Alexandria: a relaxed structure of Tl2Cu2Se2S (PBE).

As for the mass density: 7.200 g cm⁻³. The calculation puts the density of states at the Fermi level at 6.4 states/eV/cell. The total energy comes out at -3.65 eV per atom.

Lattice parameters (Å, degrees): 3.895 6.536 7.632 65.88 75.22 72.85
Sites, in units of the cell vectors:
Tl  0.065  0.196  0.176
Tl  0.935  0.804  0.824
Cu  0.299  0.330  0.571
Cu  0.701  0.670  0.429
Se  0.310  0.637  0.244
Se  0.690  0.363  0.756
S  0.500  0.000  0.500

=====

What is the formula in the first record? Tl2Cu2SeS2

=====

What is the total energy in the first record? -3.73 eV per atom